# Tm7Pt2Au2, optimized geometry, DFT PBE-GGA
# **Magnetic moment**: 0.00 μB per formula unit
# **ΔH_f (0 K)**: -82 kJ per mole of atoms
data_Tm7Pt2Au2
_chemical_formula_sum 'Tm14 Pt4 Au4'
_cell_length_a 3.7736
_cell_length_b 15.6014
_cell_length_c 9.3727
_cell_angle_alpha 90.00
_cell_angle_beta 90.00
_cell_angle_gamma 90.00
_space_group_name_H-M_alt 'I m m 2'
_space_group_IT_number 44
loop_
_space_group_symop_operation_xyz
'x,y,z'
'-x,-y,z'
'-x,y,z'
'x,-y,z'
'x+1/2,y+1/2,z+1/2'
'-x+1/2,-y+1/2,z+1/2'
'-x+1/2,y+1/2,z+1/2'
'x+1/2,-y+1/2,z+1/2'
loop_
_atom_site_label
_atom_site_type_symbol
_atom_site_fract_x
_atom_site_fract_y
_atom_site_fract_z
_atom_site_occupancy
Tm1 Tm 0.0000 0.0000 0.0000 1
Tm2 Tm 0.0000 0.1159 0.4127 1
Tm3 Tm 0.0000 0.3124 0.6139 1
Tm4 Tm 0.0000 0.3636 0.2536 1
Pt1 Pt 0.0000 0.2450 0.9112 1
Au1 Au 0.0000 0.0000 0.6675 1
Au2 Au 0.0000 0.5000 0.7426 1